(1)
VASP calculation (GGA-PBE) on crystalline Tb2Pm2Y3 at its relaxed geometry.

Values from the calculation:
total DFT energy (no corrections): -0.19198 hartree per atom
energy relative to the elements: 1.6 eV per formula unit
distance to the lowest polymorph of the same formula: 0.096 eV/atom
V: 33.52 A^3/atom

a = 9.7906 Å, b = 9.7906 Å, c = 9.7906 Å
α = 90.00°, β = 90.00°, γ = 90.00°
Last column: nearest neighbours and their distance in Å.
Space group I2_13 (No. 199)
Unique sites:
Tb1 0.0411 0.0411 0.0411  6 Y 3.24-3.33, 1 Pm 3.34
Pm1 0.1559 0.3441 0.6559  1 Tb 3.34, 3 Y 3.51, 3 Pm 3.57
Y1 0.0000 0.2500 0.3059  4 Tb 3.24-3.33, 2 Pm 3.51



(2)
VASP calculation (GGA-PBE) on crystalline Ca3Al8Au3 at its relaxed geometry.

Values from the calculation:
total DFT energy (no corrections): -0.13791 hartree per atom
energy relative to the elements: -6.8 eV per formula unit
V: 19.77 A^3/atom

a = 16.0010 Å, b = 4.4502 Å, c = 9.6789 Å
α = 90.00°, β = 126.55°, γ = 90.00°
Last column: nearest neighbours and their distance in Å.
Space group C2/m (No. 12)
Unique sites:
Ca1 0.0000 0.0000 0.0000  4 Au 3.23, 8 Al 3.27-3.32
Ca2 0.2105 0.5000 0.7102  10 Al 3.07-3.34, 2 Au 3.18
Al1 0.0002 0.5000 0.3237  3 Au 2.63-2.81, 3 Al 2.72-2.88
Al2 0.1404 0.0000 0.4259  5 Al 2.69-2.88, 1 Au 2.74
Al3 0.1461 0.0000 0.8639  4 Au 2.61-2.84
Al4 0.1564 0.5000 0.2875  1 Au 2.64, 4 Al 2.69-2.74
Au1 0.0000 0.0000 0.5000  8 Al 2.74-2.84
Au2 0.1497 0.5000 0.0084  5 Al 2.61-2.72